# TlFeRu2 | Alexandria | PBE-GGA | optimized geometry
data_TlFeRu2
_chemical_formula_sum 'Tl4 Fe4 Ru8'
_cell_length_a 6.297
_cell_length_b 6.297
_cell_length_c 6.297
_cell_angle_alpha 90.00
_cell_angle_beta 90.00
_cell_angle_gamma 90.00
_space_group_name_H-M_alt 'F m -3 m'
_space_group_IT_number 225
_space_group_name_Hall '-F 4 2 3'
loop_
_atom_site_label
_atom_site_type_symbol
_atom_site_fract_x
_atom_site_fract_y
_atom_site_fract_z
Tl1 Tl 0.000 0.000 0.000
Fe1 Fe 0.000 0.000 0.500
Ru1 Ru 0.250 0.250 0.250
# Relative energy among the computed polymorphs = 2.108 kcal/mol of atoms
# DOS(E_F) = 1.193 states/eV/atom
# E = -27.40 eV per formula unit